Entry 1:
NiSnI2N after structural relaxation, computed with PBE.

Unit cell a=6.0269 b=6.0269 c=3.8655 alpha=90.00 beta=90.00 gamma=90.00
Closest atoms and distances in Å follow each position.
Space group P4/mmm (No. 123)
One atom of each set of equivalent atoms:
Ni (0.0000, 0.0000, 0.0000) (multiplicity 1)  8 I 3.58, 2 Ni 3.87
Sn (0.5000, 0.5000, 0.5000) (multiplicity 1)  2 N 1.93
I (0.0000, 0.5000, 0.5000) (multiplicity 2)  2 Sn 3.01
N (0.5000, 0.5000, 0.0000) (multiplicity 1)  2 Sn 1.93

Energy above the lowest structure with this stoichiometry = 586 meV per atom
Formation energy without anion corrections = 5.18 eV/f.u.

Entry 2:
HfTeSeN2 after structural relaxation, computed with PBE.

Unit cell a=4.1648 b=4.1648 c=5.5834 alpha=90.00 beta=90.00 gamma=90.00
Closest atoms and distances in Å follow each position.
Space group P4/mmm (No. 123)
One atom of each set of equivalent atoms:
Hf (0.0000, 0.0000, 0.0000) (multiplicity 1)  4 N 2.08
Te (0.5000, 0.5000, 0.5000) (multiplicity 1)  4 Se 2.94
Se (0.0000, 0.0000, 0.5000) (multiplicity 1)  2 Hf 2.79, 4 Te 2.94
N (0.0000, 0.5000, 0.0000) (multiplicity 2)  2 Hf 2.08

Energy above the lowest structure with this stoichiometry = 0 meV per atom
Formation energy without anion corrections = 1.71 eV/f.u.

Entry 3:
CeEr4Sc2 after structural relaxation, computed with PBE.

Unit cell a=5.4058 b=5.4058 c=15.7742 alpha=90.00 beta=90.00 gamma=90.00
Closest atoms and distances in Å follow each position.
Space group I4/mmm (No. 139)
One atom of each set of equivalent atoms:
Ce (0.0000, 0.0000, 0.0000) (multiplicity 2)  6 Er 2.70-2.87
Er (0.0000, 0.0000, 0.1821) (multiplicity 4)  1 Ce 2.87
Er (0.0000, 0.5000, 0.0000) (multiplicity 4)  2 Ce 2.70
Sc (0.0000, 0.0000, 0.3903) (multiplicity 4)  5 Er 3.21-3.29, 1 Sc 3.46

DFT formation energy = 691 meV per atom

Entry 4:
Ho3RhSeCl after structural relaxation, computed with PBE.

Unit cell a=8.1390 b=3.9674 c=9.7739 alpha=90.00 beta=93.33 gamma=90.00
Closest atoms and distances in Å follow each position.
Space group P2_1/m (No. 11)
One atom of each set of equivalent atoms:
Ho (0.1401, 0.2500, 0.3918) (multiplicity 2)  2 Cl 2.68, 1 Rh 2.80
Ho (0.1484, 0.2500, 0.8195) (multiplicity 2)  3 Rh 2.78-2.93, 2 Se 2.93
Ho (0.3159, 0.7500, 0.1161) (multiplicity 2)  2 Rh 2.82, 1 Cl 2.88, 3 Se 2.90-2.98
Rh (0.0686, 0.2500, 0.1077) (multiplicity 2)  6 Ho 2.78-2.93, 2 Rh 3.06
Se (0.4143, 0.7500, 0.8351) (multiplicity 2)  5 Ho 2.90-2.98
Cl (0.3621, 0.7500, 0.4106) (multiplicity 2)  3 Ho 2.68-2.88

Formation energy without anion corrections = -7.64 eV/f.u.

Entry 5:
LiPmTe4Pb2 after structural relaxation, computed with PBE.

Unit cell a=7.7712 b=4.5324 c=7.9119 alpha=90.00 beta=108.97 gamma=90.00
Closest atoms and distances in Å follow each position.
Space group P2/m (No. 10)
One atom of each set of equivalent atoms:
Li (0.0000, 0.0000, 0.0000) (multiplicity 1)  6 Te 3.10-3.14
Pm (0.5000, 0.5000, 0.0000) (multiplicity 1)  6 Te 3.13-3.17
Te (0.2423, 0.5000, 0.2333) (multiplicity 2)  1 Pm 3.13, 2 Li 3.14, 3 Pb 3.25-3.29
Te (0.2498, 0.0000, 0.7644) (multiplicity 2)  1 Li 3.10, 2 Pm 3.17, 3 Pb 3.26-3.29
Pb (0.0000, 0.5000, 0.5000) (multiplicity 1)  6 Te 3.25-3.26
Pb (0.5000, 0.0000, 0.5000) (multiplicity 1)  6 Te 3.29

Formation energy without anion corrections = -6.54 eV/f.u.

Entry 6:
PmGePd2 after structural relaxation, computed with PBE.

Unit cell a=7.5996 b=7.1130 c=5.7096 alpha=90.00 beta=90.00 gamma=90.00
Closest atoms and distances in Å follow each position.
Space group Pnma (No. 62)
One atom of each set of equivalent atoms:
Pm (0.0310, 0.2500, 0.1465) (multiplicity 4)  8 Pd 3.07-3.31, 3 Ge 3.07-3.13
Ge (0.1212, 0.7500, 0.3525) (multiplicity 4)  6 Pd 2.56-2.70
Pd (0.1788, 0.0522, 0.5892) (multiplicity 8)  3 Ge 2.56-2.70, 1 Pd 2.81

DFT formation energy = -879 meV per atom

Please write out number 1 again, unchanged.
NiSnI2N after structural relaxation, computed with PBE.

Unit cell a=6.0269 b=6.0269 c=3.8655 alpha=90.00 beta=90.00 gamma=90.00
Closest atoms and distances in Å follow each position.
Space group P4/mmm (No. 123)
One atom of each set of equivalent atoms:
Ni (0.0000, 0.0000, 0.0000) (multiplicity 1)  8 I 3.58, 2 Ni 3.87
Sn (0.5000, 0.5000, 0.5000) (multiplicity 1)  2 N 1.93
I (0.0000, 0.5000, 0.5000) (multiplicity 2)  2 Sn 3.01
N (0.5000, 0.5000, 0.0000) (multiplicity 1)  2 Sn 1.93

Energy above the lowest structure with this stoichiometry = 586 meV per atom
Formation energy without anion corrections = 5.18 eV/f.u.

What did the third record say?
CeEr4Sc2 after structural relaxation, computed with PBE.

Unit cell a=5.4058 b=5.4058 c=15.7742 alpha=90.00 beta=90.00 gamma=90.00
Closest atoms and distances in Å follow each position.
Space group I4/mmm (No. 139)
One atom of each set of equivalent atoms:
Ce (0.0000, 0.0000, 0.0000) (multiplicity 2)  6 Er 2.70-2.87
Er (0.0000, 0.0000, 0.1821) (multiplicity 4)  1 Ce 2.87
Er (0.0000, 0.5000, 0.0000) (multiplicity 4)  2 Ce 2.70
Sc (0.0000, 0.0000, 0.3903) (multiplicity 4)  5 Er 3.21-3.29, 1 Sc 3.46

DFT formation energy = 691 meV per atom

Please write out number 6 again, unchanged.
PmGePd2 after structural relaxation, computed with PBE.

Unit cell a=7.5996 b=7.1130 c=5.7096 alpha=90.00 beta=90.00 gamma=90.00
Closest atoms and distances in Å follow each position.
Space group Pnma (No. 62)
One atom of each set of equivalent atoms:
Pm (0.0310, 0.2500, 0.1465) (multiplicity 4)  8 Pd 3.07-3.31, 3 Ge 3.07-3.13
Ge (0.1212, 0.7500, 0.3525) (multiplicity 4)  6 Pd 2.56-2.70
Pd (0.1788, 0.0522, 0.5892) (multiplicity 8)  3 Ge 2.56-2.70, 1 Pd 2.81

DFT formation energy = -879 meV per atom